# Ni2SnMoO6 PBE with a Hubbard U optimized geometry
# Crystal system = tetragonal
# Fermi-level density of states = 0.31 states/eV/atom
# Total DFT energy (no corrections) = -5.642 eV per atom
data_Ni2SnMoO6
_chemical_formula_sum 'Ni2 Sn1 Mo1 O6'
_symmetry_space_group_name_H-M 'P 4 m m'
_symmetry_Int_Tables_number 99
_symmetry_space_group_name_Hall 'P 4 -2'
_cell_length_a 5.831
_cell_length_b 5.831
_cell_length_c 3.978
_cell_angle_alpha 90.00
_cell_angle_beta 90.00
_cell_angle_gamma 90.00
loop_
_atom_site_label
_atom_site_fract_x
_atom_site_fract_y
_atom_site_fract_z
_atom_site_occupancy
Ni1 0.000 0.500 0.000 1
Sn1 0.000 0.000 0.863 1
Mo1 0.500 0.500 0.815 1
O1 0.000 0.000 0.371 1
O2 0.258 0.258 0.912 1
O3 0.500 0.500 0.376 1